Here is an optimized crystal structure of TlZnSe2 from Alexandria via LeMat-Bulk. Energies are from PBE.

For the density of states at the Fermi level, the calculation gives 0.361 states/eV/atom. For the total energy, the calculation gives -11.37 eV/f.u.

The structure belongs to space group Cmmm (No. 65); the cell edges are 3.8158, 8.6213 and 7.7751 Å and the angles 90.00°, 90.00° and 90.00°. The distinct sites, in fractional coordinates, are Tl at (0.0000, 0.0000, 0.0000), Zn at (0.0000, 0.0000, 0.5000) and Se at (0.0000, 0.5000, 0.2897).

Here is an optimized crystal structure of TlZnSe2 from Alexandria via LeMat-Bulk. Energies are from PBE.

For the density of states at the Fermi level, the calculation gives 0.492 states/eV/atom. For the total energy, the calculation gives -11.26 eV/f.u.

The structure belongs to space group Imm2 (No. 44); the cell edges are 3.6505, 3.7203 and 14.3276 Å and the angles 90.00°, 90.00° and 90.00°. The distinct sites, in fractional coordinates, are Tl at (0.0000, 0.0000, 0.0000), Zn at (0.0000, 0.5000, 0.7495), Se at (0.0000, 0.0000, 0.3797) and Se at (0.0000, 0.5000, 0.1763).

Here is an optimized crystal structure of TlZnSe2 from Alexandria via LeMat-Bulk. Energies are from PBE.

For the density of states at the Fermi level, the calculation gives 0.812 states/eV/atom. For the total energy, the calculation gives -9.67 eV/f.u.

The structure belongs to space group F-43m (No. 216); the cell edges are 7.1586, 7.1586 and 7.1586 Å and the angles 90.00°, 90.00° and 90.00°. The distinct sites, in fractional coordinates, are Tl at (0.0000, 0.0000, 0.0000), Zn at (0.2500, 0.2500, 0.2500), Se at (0.0000, 0.0000, 0.5000) and Se at (0.2500, 0.2500, 0.7500).

Here is an optimized crystal structure of TlZn2Se from Alexandria via LeMat-Bulk. Energies are from PBE.

For the density of states at the Fermi level, the calculation gives 0.302 states/eV/atom. The calculation puts the energy above the most stable polymorph in this dataset at 0.0 kJ per mole of atoms.

The structure belongs to space group P2/m (No. 10); the cell edges are 4.9725, 3.8494 and 5.4538 Å and the angles 90.00°, 99.27° and 90.00°. The distinct sites, in fractional coordinates, are Tl at (0.0000, 0.0000, 0.0000), Zn at (0.3804, 0.5000, 0.7790) and Se at (0.5000, 0.0000, 0.5000).

Here is an optimized crystal structure of TlZn2Se from Alexandria via LeMat-Bulk. Energies are from PBE.

For the density of states at the Fermi level, the calculation gives 0.451 states/eV/atom. The calculation puts the energy above the most stable polymorph in this dataset at 14.5 kJ per mole of atoms.

The structure belongs to space group Cmmm (No. 65); the cell edges are 3.8610, 6.1378 and 7.9386 Å and the angles 90.00°, 90.00° and 90.00°. The distinct sites, in fractional coordinates, are Tl at (0.0000, 0.0000, 0.0000), Zn at (0.0000, 0.5000, 0.2877) and Se at (0.0000, 0.0000, 0.5000).

Here is an optimized crystal structure of TlZn2Se from Alexandria via LeMat-Bulk. Energies are from PBE.

For the density of states at the Fermi level, the calculation gives 0.491 states/eV/atom. The calculation puts the energy above the most stable polymorph in this dataset at 24.2 kJ per mole of atoms.

The structure belongs to space group Fm-3m (No. 225); the cell edges are 7.1228, 7.1228 and 7.1228 Å and the angles 90.00°, 90.00° and 90.00°. The distinct sites, in fractional coordinates, are Tl at (0.0000, 0.0000, 0.0000), Zn at (0.2500, 0.2500, 0.2500) and Se at (0.0000, 0.0000, 0.5000).

Here is an optimized crystal structure of Tl2Zn2Se3 from Alexandria via LeMat-Bulk. Energies are from PBE.

For the total energy, the calculation gives -21.39 eV/f.u.

The structure belongs to space group C2/c (No. 15); the cell edges are 16.6061, 14.5387 and 7.0299 Å and the angles 90.00°, 114.27° and 90.00°. The distinct sites, in fractional coordinates, are Tl at (0.0000, 0.0630, 0.2500), Tl at (0.0000, 0.2026, 0.7500), Tl at (0.0955, 0.4111, 0.1103), Zn at (0.1953, 0.2227, 0.6231), Zn at (0.2303, 0.0803, 0.1404), Se at (0.1161, 0.3591, 0.6721), Se at (0.1480, 0.2052, 0.2348) and Se at (0.1812, 0.0675, 0.7549).

Here is an optimized crystal structure of TlZn2Se from Alexandria via LeMat-Bulk. Energies are from PBE.

For the density of states at the Fermi level, the calculation gives 0.405 states/eV/atom. The calculation puts the energy above the most stable polymorph in this dataset at 17.1 kJ per mole of atoms.

The structure belongs to space group C2/m (No. 12); the cell edges are 6.2733, 9.2076 and 4.5285 Å and the angles 90.00°, 133.34° and 90.00°. The distinct sites, in fractional coordinates, are Tl at (0.0000, 0.0000, 0.0000), Zn at (0.2500, 0.2500, 0.5000) and Se at (0.0000, 0.5000, 0.0000).

Here is an optimized crystal structure of Tl3Zn2Se4 from Alexandria via LeMat-Bulk. Energies are from PBE.

For the density of states at the Fermi level, the calculation gives 0.245 states/eV/atom. For the total energy, the calculation gives -27.68 eV/f.u.

The structure belongs to space group P-1 (No. 2); the cell edges are 4.0602, 7.9223 and 8.5233 Å and the angles 109.87°, 103.77° and 90.00°. The distinct sites, in fractional coordinates, are Tl at (0.0000, 0.0000, 0.0000), Tl at (0.1211, 0.5340, 0.2427), Zn at (0.3242, 0.0208, 0.6477), Se at (0.2112, 0.1801, 0.4229) and Se at (0.4693, 0.2565, 0.9387).

Here is an optimized crystal structure of Tl2Zn2Se from Alexandria via LeMat-Bulk. Energies are from PBE.

For the density of states at the Fermi level, the calculation gives 0.307 states/eV/atom. For the total energy, the calculation gives -10.93 eV/f.u.

The structure belongs to space group P4/mbm (No. 127); the cell edges are 6.8525, 6.8525 and 5.2856 Å and the angles 90.00°, 90.00° and 90.00°. The distinct sites, in fractional coordinates, are Tl at (0.1737, 0.3263, 0.0000), Zn at (0.1271, 0.6271, 0.5000) and Se at (0.0000, 0.0000, 0.5000).

Here is an optimized crystal structure of TlZn2Se from Alexandria via LeMat-Bulk. Energies are from PBE.

For the density of states at the Fermi level, the calculation gives 0.358 states/eV/atom. The calculation puts the energy above the most stable polymorph in this dataset at 8.5 kJ per mole of atoms.

The structure belongs to space group P4mm (No. 99); the cell edges are 3.4815, 3.4815 and 7.6509 Å and the angles 90.00°, 90.00° and 90.00°. The distinct sites, in fractional coordinates, are Tl at (0.0000, 0.0000, 0.0000), Zn at (0.0000, 0.0000, 0.4838), Zn at (0.5000, 0.5000, 0.2795) and Se at (0.5000, 0.5000, 0.6189).

Here is an optimized crystal structure of TlZnSe2 from Alexandria via LeMat-Bulk. Energies are from PBE.

For the density of states at the Fermi level, the calculation gives 0.777 states/eV/atom. For the total energy, the calculation gives -11.80 eV/f.u.

The structure belongs to space group R3m (No. 160, hexagonal axes); the cell edges are 3.9281, 3.9281 and 21.2801 Å and the angles 90.00°, 90.00° and 120.00°. The distinct sites, in fractional coordinates, are Tl at (0.0000, 0.0000, 0.0000), Zn at (0.0000, 0.0000, 0.1684), Se at (0.0000, 0.0000, 0.5658) and Se at (0.0000, 0.0000, 0.7655).

Here is an optimized crystal structure of TlZnSe2 from Alexandria via LeMat-Bulk. Energies are from PBE.

For the density of states at the Fermi level, the calculation gives 0.380 states/eV/atom. For the total energy, the calculation gives -9.92 eV/f.u.

The structure belongs to space group C2/m (No. 12); the cell edges are 5.7287, 11.5162 and 2.9354 Å and the angles 90.00°, 99.39° and 90.00°. The distinct sites, in fractional coordinates, are Tl at (0.0000, 0.0000, 0.0000), Zn at (0.0000, 0.5000, 0.0000) and Se at (0.2500, 0.2500, 0.5000).

Here is an optimized crystal structure of TlZnSe2 from Alexandria via LeMat-Bulk. Energies are from PBE.

For the density of states at the Fermi level, the calculation gives 0.952 states/eV/atom. For the total energy, the calculation gives -10.16 eV/f.u.

The structure belongs to space group P4/mmm (No. 123); the cell edges are 5.0473, 5.0473 and 3.5882 Å and the angles 90.00°, 90.00° and 90.00°. The distinct sites, in fractional coordinates, are Tl at (0.0000, 0.0000, 0.0000), Zn at (0.5000, 0.5000, 0.0000) and Se at (0.0000, 0.5000, 0.5000).